Material: La3Y2Cd3
Method: DFT, GGA-PBE
State: optimized geometry

Energy in eV per atom: -4.050
E_form in meV/atom: -243
Space group: Immm

abc: 3.825 5.634 11.958
angles: 103.63 99.20 90.00
Fractional positions:
Y 0.265 0.765 0.531
Y 0.735 0.235 0.469
La 0.376 0.376 0.753
La 0.624 0.624 0.247
La 0.500 0.000 0.000
Cd 0.877 0.877 0.753
Cd 0.000 0.500 0.000
Cd 0.123 0.123 0.247